Entry from the Alexandria database: crystalline CsYCrF6 at its relaxed geometry (GGA+U).

Properties
Its spin magnetization is 4.0 μB/f.u. Its electronic total energy is -6.19 eV per atom.

Cell lengths 8.2858, 7.6758, 8.0936 Å; angles 118.31, 120.79, 90.00 degrees
With the nearest neighbours (Å) after each atom.
Fractional positions:
1 Y 0.0000 0.0000 0.5000  6 F 2.18-2.22
2 Y 0.5000 0.0000 0.5000  6 F 2.18-2.22
3 F 0.5540 0.3287 0.7341  1 Y 2.18, 1 Cr 2.21
4 F 0.1801 0.9053 0.7341  1 Y 2.18, 1 Cr 2.21
5 F 0.5483 0.2983 0.0965  2 Cr 2.00
6 F 0.4517 0.7017 0.9035  2 Cr 2.00
7 F 0.4460 0.0947 0.2659  1 Y 2.18, 1 Cr 2.21
8 F 0.8197 0.0697 0.6393  2 Y 2.22
9 F 0.8199 0.0947 0.2659  1 Y 2.18, 1 Cr 2.21
10 F 0.8199 0.6713 0.2659  1 Y 2.18, 1 Cr 2.21
11 F 0.4460 0.6713 0.2659  1 Y 2.18, 1 Cr 2.21
12 F 0.5540 0.9053 0.7341  1 Y 2.18, 1 Cr 2.21
13 F 0.1803 0.9303 0.3607  2 Y 2.22
14 F 0.1801 0.3287 0.7341  1 Y 2.18, 1 Cr 2.21
15 Cr 0.5000 0.0000 0.0000  6 F 2.00-2.21
16 Cr 0.5000 0.5000 0.0000  6 F 2.00-2.21
17 Cs 0.1808 0.4308 0.3617  9 F 3.14-3.46
18 Cs 0.8192 0.5692 0.6383  9 F 3.14-3.46